First-principles (PBE-GGA) data for a relaxed K2BaLiBr5 crystal, as listed in Alexandria.

Cell: 4.6669 10.1517 14.2495 Å, 90.00 90.00 103.29°
Atoms (fractional coordinates):
K  0.8846  0.7691  0.8453
K  0.0942  0.1884  0.6732
K  0.1154  0.2309  0.3453
K  0.9058  0.8116  0.1732
Ba  0.8053  0.6107  0.5367
Ba  0.1947  0.3893  0.0367
Li  0.5468  0.0936  0.9194
Li  0.4532  0.9064  0.4194
Br  0.3546  0.7093  0.0130
Br  0.6764  0.3529  0.8808
Br  0.4920  0.9839  0.7633
Br  0.2930  0.5861  0.6922
Br  0.9687  0.9374  0.5000
Br  0.6454  0.2907  0.5130
Br  0.3236  0.6471  0.3808
Br  0.5080  0.0161  0.2633
Br  0.7070  0.4139  0.1922
Br  0.0313  0.0626  0.0000

Calculated values
* theoretical density: 3.14 g/cm³
* raw total energy: -3.421 eV/atom